[1]
{"formula": "Dy2Cu2Ag3", "functional": "PBE-GGA", "state": "optimized geometry", "ef_mev_per_atom": -220, "lattice_angstrom": [[3.898, 0.000, 0.000], [0.000, 19.539, 0.000], [0.000, 0.000, 3.666]], "species": ["Dy", "Dy", "Dy", "Dy", "Cu", "Cu", "Cu", "Cu", "Ag", "Ag", "Ag", "Ag", "Ag", "Ag"], "frac_coords": [[0.000, 0.159, 0.000], [0.000, 0.841, 0.000], [0.500, 0.341, 0.000], [0.500, 0.659, 0.000], [0.000, 0.287, 0.500], [0.000, 0.713, 0.500], [0.500, 0.213, 0.500], [0.500, 0.787, 0.500], [0.000, 0.000, 0.000], [0.000, 0.428, 0.500], [0.000, 0.572, 0.500], [0.500, 0.072, 0.500], [0.500, 0.500, 0.000], [0.500, 0.928, 0.500]]}

[2]
{"formula": "Dy6CuAg5", "functional": "PBE-GGA", "state": "optimized geometry", "ef_mev_per_atom": -305, "lattice_angstrom": [[2.564, -7.693, 0.000], [2.564, 7.693, 0.000], [0.000, 0.000, 7.178]], "species": ["Dy", "Dy", "Dy", "Dy", "Dy", "Dy", "Cu", "Ag", "Ag", "Ag", "Ag", "Ag"], "frac_coords": [[0.000, 0.000, 0.243], [0.000, 0.000, 0.757], [0.337, 0.663, 0.247], [0.337, 0.663, 0.753], [0.663, 0.337, 0.247], [0.663, 0.337, 0.753], [0.500, 0.500, 0.000], [0.168, 0.832, 0.500], [0.169, 0.831, 0.000], [0.500, 0.500, 0.500], [0.831, 0.169, 0.000], [0.832, 0.168, 0.500]]}

[3]
{"formula": "Dy2Cu9Ag", "functional": "PBE-GGA", "state": "optimized geometry", "ef_mev_per_atom": -83, "lattice_angstrom": [[2.547, 1.471, 8.172], [-2.547, 1.471, 8.172], [0.000, -2.941, 8.172]], "species": ["Dy", "Dy", "Cu", "Cu", "Cu", "Cu", "Cu", "Cu", "Cu", "Cu", "Cu", "Ag"], "frac_coords": [[0.135, 0.135, 0.135], [0.865, 0.865, 0.865], [0.079, 0.583, 0.583], [0.333, 0.333, 0.333], [0.417, 0.417, 0.921], [0.417, 0.921, 0.417], [0.500, 0.500, 0.500], [0.583, 0.079, 0.583], [0.583, 0.583, 0.079], [0.667, 0.667, 0.667], [0.921, 0.417, 0.417], [0.000, 0.000, 0.000]]}

[4]
{"formula": "Dy2CuAg", "functional": "PBE-GGA", "state": "optimized geometry", "ef_mev_per_atom": -266, "polymorph_energy_ev_per_atom": 0.019, "lattice_angstrom": [[7.125, 0.000, 0.000], [0.000, 7.125, 0.000], [0.000, 0.000, 7.125]], "species": ["Dy", "Dy", "Dy", "Dy", "Dy", "Dy", "Dy", "Dy", "Cu", "Cu", "Cu", "Cu", "Ag", "Ag", "Ag", "Ag"], "frac_coords": [[0.250, 0.250, 0.250], [0.250, 0.250, 0.750], [0.250, 0.750, 0.250], [0.250, 0.750, 0.750], [0.750, 0.250, 0.250], [0.750, 0.250, 0.750], [0.750, 0.750, 0.250], [0.750, 0.750, 0.750], [0.000, 0.000, 0.000], [0.000, 0.500, 0.500], [0.500, 0.000, 0.500], [0.500, 0.500, 0.000], [0.000, 0.000, 0.500], [0.000, 0.500, 0.000], [0.500, 0.000, 0.000], [0.500, 0.500, 0.500]]}

[5]
{"formula": "Dy4Cu3Ag", "functional": "PBE-GGA", "state": "optimized geometry", "ef_mev_per_atom": -251, "polymorph_energy_ev_per_atom": 0.009, "lattice_angstrom": [[3.756, 0.000, 0.000], [0.000, 4.581, 0.000], [0.000, 0.000, 10.421]], "species": ["Dy", "Dy", "Dy", "Dy", "Cu", "Cu", "Cu", "Ag"], "frac_coords": [[0.000, 0.000, 0.000], [0.000, 0.500, 0.270], [0.500, 0.000, 0.482], [0.500, 0.500, 0.776], [0.000, 0.500, 0.554], [0.500, 0.000, 0.204], [0.500, 0.500, 0.062], [0.000, 0.000, 0.707]]}

[6]
{"formula": "Dy4CuAg2", "functional": "PBE-GGA", "state": "optimized geometry", "ef_mev_per_atom": -138, "lattice_angstrom": [[2.515, 1.452, 8.244], [-2.515, 1.452, 8.244], [0.000, -2.904, 8.244]], "species": ["Dy", "Dy", "Dy", "Dy", "Cu", "Ag", "Ag"], "frac_coords": [[0.124, 0.124, 0.124], [0.374, 0.374, 0.374], [0.626, 0.626, 0.626], [0.876, 0.876, 0.876], [0.000, 0.000, 0.000], [0.249, 0.249, 0.249], [0.751, 0.751, 0.751]]}